Entry 1:
Density functional theory data (PBE) for a geometry-optimized DyEr3Te4 structure.

Values from the calculation:
For the uncorrected formation energy, the calculation gives -1228 meV per atom. The value obtained for the total energy is -5.085 eV per atom. The density of states at the Fermi level is 4.1 states/eV/f.u.

Unit cell a=7.525 b=8.573 c=7.514 alpha=90.00 beta=109.22 gamma=90.00
Fractional coordinates of all 16 atoms:
Dy 0.000 0.125 0.250
Dy 0.000 0.875 0.750
Er 0.000 0.373 0.750
Er 0.000 0.627 0.250
Er 0.500 0.124 0.750
Er 0.500 0.373 0.250
Er 0.500 0.627 0.750
Er 0.500 0.876 0.250
Te 0.251 0.377 0.501
Te 0.251 0.623 0.001
Te 0.252 0.126 0.000
Te 0.252 0.874 0.500
Te 0.748 0.126 0.500
Te 0.748 0.874 0.000
Te 0.749 0.377 0.999
Te 0.749 0.623 0.499

Entry 2:
Density functional theory data (PBE) for a geometry-optimized DyErTe2 structure.

Values from the calculation:
For the uncorrected formation energy, the calculation gives -1245 meV per atom. The value obtained for the total energy is -5.107 eV per atom. The density of states at the Fermi level is 2.2 states/eV/f.u.

Unit cell a=7.486 b=7.486 c=7.486 alpha=33.72 beta=33.72 gamma=33.72
Fractional coordinates of all 4 atoms:
Dy 0.000 0.000 0.000
Er 0.500 0.500 0.500
Te 0.249 0.249 0.249
Te 0.751 0.751 0.751

Entry 3:
Density functional theory data (PBE) for a geometry-optimized DyEr4Te2 structure.

Values from the calculation:
For the uncorrected formation energy, the calculation gives -476 meV per atom. The value obtained for the total energy is -4.639 eV per atom. The density of states at the Fermi level is 5.5 states/eV/f.u.

Unit cell a=9.343 b=9.343 c=9.343 alpha=33.51 beta=33.51 gamma=33.51
Fractional coordinates of all 7 atoms:
Dy 0.000 0.000 0.000
Er 0.236 0.236 0.236
Er 0.366 0.366 0.366
Er 0.634 0.634 0.634
Er 0.764 0.764 0.764
Te 0.118 0.118 0.118
Te 0.882 0.882 0.882

Entry 4:
Density functional theory data (PBE) for a geometry-optimized Dy3Er4Te4 structure.

Values from the calculation:
For the uncorrected formation energy, the calculation gives -873 meV per atom. The value obtained for the total energy is -4.930 eV per atom. The density of states at the Fermi level is 12.4 states/eV/f.u.

Unit cell a=10.035 b=10.035 c=10.035 alpha=157.72 beta=125.80 gamma=59.31
Fractional coordinates of all 11 atoms:
Dy 0.000 0.000 0.000
Dy 0.397 0.897 0.500
Dy 0.603 0.103 0.500
Er 0.020 0.334 0.685
Er 0.351 0.666 0.685
Er 0.649 0.334 0.315
Er 0.980 0.666 0.315
Te 0.261 0.261 0.000
Te 0.300 0.500 0.800
Te 0.700 0.500 0.200
Te 0.739 0.739 0.000

Entry 5:
Density functional theory data (PBE) for a geometry-optimized Dy3ErTe6 structure.

Values from the calculation:
For the uncorrected formation energy, the calculation gives -1330 meV per atom. The value obtained for the total energy is -5.052 eV per atom. The density of states at the Fermi level is 0.0 states/eV/f.u.

Unit cell a=8.996 b=8.996 c=8.996 alpha=90.50 beta=90.50 gamma=90.50
Fractional coordinates of all 20 atoms:
Dy 0.075 0.743 0.582
Dy 0.257 0.418 0.925
Dy 0.418 0.925 0.257
Dy 0.582 0.075 0.743
Dy 0.743 0.582 0.075
Dy 0.925 0.257 0.418
Er 0.000 0.000 0.000
Er 0.500 0.500 0.500
Te 0.039 0.680 0.911
Te 0.089 0.961 0.320
Te 0.186 0.409 0.586
Te 0.320 0.089 0.961
Te 0.409 0.586 0.186
Te 0.414 0.814 0.591
Te 0.586 0.186 0.409
Te 0.591 0.414 0.814
Te 0.680 0.911 0.039
Te 0.814 0.591 0.414
Te 0.911 0.039 0.680
Te 0.961 0.320 0.089

Entry 6:
Density functional theory data (PBE) for a geometry-optimized DyErTe2 structure.

Values from the calculation:
For the uncorrected formation energy, the calculation gives -1128 meV per atom. The value obtained for the total energy is -4.990 eV per atom. The density of states at the Fermi level is 2.5 states/eV/f.u.

Unit cell a=5.330 b=5.330 c=5.330 alpha=60.00 beta=60.00 gamma=60.00
Fractional coordinates of all 4 atoms:
Dy 0.000 0.000 0.000
Er 0.500 0.500 0.500
Te 0.250 0.250 0.250
Te 0.750 0.750 0.750

Entry 7:
Density functional theory data (PBE) for a geometry-optimized Dy3ErTe3 structure.

Values from the calculation:
For the uncorrected formation energy, the calculation gives -988 meV per atom. The value obtained for the total energy is -4.959 eV per atom. The density of states at the Fermi level is 6.3 states/eV/f.u.

Unit cell a=7.834 b=7.834 c=7.834 alpha=69.51 beta=69.51 gamma=69.51
Fractional coordinates of all 14 atoms:
Dy 0.168 0.653 0.423
Dy 0.347 0.577 0.832
Dy 0.423 0.168 0.653
Dy 0.577 0.832 0.347
Dy 0.653 0.423 0.168
Dy 0.832 0.347 0.577
Er 0.190 0.190 0.190
Er 0.810 0.810 0.810
Te 0.036 0.397 0.823
Te 0.177 0.964 0.603
Te 0.397 0.823 0.036
Te 0.603 0.177 0.964
Te 0.823 0.036 0.397
Te 0.964 0.603 0.177

Entry 8:
Density functional theory data (PBE) for a geometry-optimized Dy4Er3Te4 structure.

Values from the calculation:
For the uncorrected formation energy, the calculation gives -869 meV per atom. The value obtained for the total energy is -4.929 eV per atom. The density of states at the Fermi level is 12.4 states/eV/f.u.

Unit cell a=10.053 b=10.053 c=10.053 alpha=157.80 beta=125.58 gamma=59.49
Fractional coordinates of all 11 atoms:
Dy 0.020 0.835 0.185
Dy 0.351 0.165 0.185
Dy 0.649 0.835 0.815
Dy 0.980 0.165 0.815
Er 0.000 0.500 0.500
Er 0.398 0.398 0.000
Er 0.602 0.602 0.000
Te 0.263 0.763 0.500
Te 0.302 0.000 0.302
Te 0.698 0.000 0.698
Te 0.737 0.237 0.500

Entry 9:
Density functional theory data (PBE) for a geometry-optimized DyErTe2 structure.

Values from the calculation:
For the uncorrected formation energy, the calculation gives -1243 meV per atom. The value obtained for the total energy is -5.105 eV per atom. The density of states at the Fermi level is 1.8 states/eV/f.u.

Unit cell a=4.338 b=4.338 c=6.118 alpha=90.00 beta=90.00 gamma=90.00
Fractional coordinates of all 4 atoms:
Dy 0.000 0.000 0.000
Er 0.500 0.500 0.500
Te 0.000 0.000 0.500
Te 0.500 0.500 0.000

Entry 10:
Density functional theory data (PBE) for a geometry-optimized Dy2ErTe structure.

Values from the calculation:
For the uncorrected formation energy, the calculation gives -644 meV per atom. The value obtained for the total energy is -4.871 eV per atom. The density of states at the Fermi level is 4.3 states/eV/f.u.

Unit cell a=6.349 b=6.349 c=9.808 alpha=90.00 beta=90.00 gamma=144.00
Fractional coordinates of all 8 atoms:
Dy 0.134 0.866 0.538
Dy 0.134 0.866 0.962
Dy 0.866 0.134 0.038
Dy 0.866 0.134 0.462
Er 0.443 0.557 0.750
Er 0.557 0.443 0.250
Te 0.264 0.736 0.250
Te 0.736 0.264 0.750

Entry 11:
Density functional theory data (PBE) for a geometry-optimized Dy5ErTe6 structure.

Values from the calculation:
For the uncorrected formation energy, the calculation gives -1268 meV per atom. The value obtained for the total energy is -5.137 eV per atom. The density of states at the Fermi level is 6.1 states/eV/f.u.

Unit cell a=7.521 b=7.521 c=7.568 alpha=99.52 beta=99.52 gamma=120.44
Fractional coordinates of all 12 atoms:
Dy 0.000 0.000 0.000
Dy 0.167 0.833 0.500
Dy 0.330 0.670 0.000
Dy 0.670 0.330 0.000
Dy 0.833 0.167 0.500
Er 0.500 0.500 0.500
Te 0.087 0.417 0.252
Te 0.253 0.253 0.750
Te 0.417 0.087 0.252
Te 0.583 0.913 0.748
Te 0.747 0.747 0.250
Te 0.913 0.583 0.748

Entry 12:
Density functional theory data (PBE) for a geometry-optimized Dy3Er2Te6 structure.

Values from the calculation:
For the uncorrected formation energy, the calculation gives -1297 meV per atom. The value obtained for the total energy is -5.096 eV per atom. The density of states at the Fermi level is 5.0 states/eV/f.u.

Unit cell a=21.633 b=21.633 c=21.633 alpha=11.53 beta=11.53 gamma=11.53
Fractional coordinates of all 11 atoms:
Dy 0.000 0.000 0.000
Dy 0.279 0.279 0.279
Dy 0.721 0.721 0.721
Er 0.447 0.447 0.447
Er 0.553 0.553 0.553
Te 0.083 0.083 0.083
Te 0.195 0.195 0.195
Te 0.361 0.361 0.361
Te 0.639 0.639 0.639
Te 0.805 0.805 0.805
Te 0.917 0.917 0.917